# Th2Ag3Au2 (PBE-GGA, optimized geometry)
# Density of states at the Fermi level ... 5.005 states/eV/f.u.
# Energy of formation ... -280 meV/atom
# E_tot ... -4.5586 eV/atom
data_Th2Ag3Au2
_chemical_formula_sum 'Th4 Ag6 Au4'
_space_group_name_H-M_alt 'C m m m'
_space_group_IT_number 65
_space_group_name_Hall '-C 2 2'
_cell_length_a 4.626
_cell_length_b 20.453
_cell_length_c 3.416
_cell_angle_alpha 90.00
_cell_angle_beta 90.00
_cell_angle_gamma 90.00
loop_
_atom_site_label
_atom_site_type_symbol
_atom_site_fract_x
_atom_site_fract_y
_atom_site_fract_z
_atom_site_occupancy
Th1 Th 0.000 0.155 0.000 1
Ag1 Ag 0.000 0.000 0.000 1
Ag2 Ag 0.000 0.433 0.500 1
Au1 Au 0.000 0.291 0.500 1


# Ni2AgAu (PBE-GGA, optimized geometry)
# Density of states at the Fermi level ... 5.307 states/eV/f.u.
# Energy of formation ... 196 meV/atom
# E_tot ... -4.2272 eV/atom
data_Ni2AgAu
_chemical_formula_sum 'Ni6 Ag3 Au3'
_space_group_name_H-M_alt 'R 3 m'
_space_group_IT_number 160
_space_group_name_Hall 'R 3 -2"'
_cell_length_a 2.7609
_cell_length_b 2.7609
_cell_length_c 26.7036
_cell_angle_alpha 90.00
_cell_angle_beta 90.00
_cell_angle_gamma 120.00
loop_
_atom_site_label
_atom_site_type_symbol
_atom_site_fract_x
_atom_site_fract_y
_atom_site_fract_z
_atom_site_occupancy
Ni1 Ni 0.0000 0.0000 0.0000 1
Ni2 Ni 0.0000 0.0000 0.2645 1
Ag1 Ag 0.0000 0.0000 0.5144 1
Au1 Au 0.0000 0.0000 0.7505 1


# Cs2NaPmF6 (PBE-GGA, optimized geometry)
# Density of states at the Fermi level ... 0.000 states/eV/f.u.
# E_tot ... -5.2027 eV/atom
data_Cs2NaPmF6
_chemical_formula_sum 'Cs8 Na4 Pm4 F24'
_space_group_name_H-M_alt 'F m -3 m'
_space_group_IT_number 225
_space_group_name_Hall '-F 4 2 3'
_cell_length_a 9.303
_cell_length_b 9.303
_cell_length_c 9.303
_cell_angle_alpha 90.00
_cell_angle_beta 90.00
_cell_angle_gamma 90.00
loop_
_atom_site_label
_atom_site_type_symbol
_atom_site_fract_x
_atom_site_fract_y
_atom_site_fract_z
_atom_site_occupancy
Cs1 Cs 0.250 0.250 0.250 1
Na1 Na 0.000 0.000 0.000 1
Pm1 Pm 0.000 0.000 0.500 1
F1 F 0.000 0.000 0.256 1


# Li2NiRu (PBE-GGA, optimized geometry)
# Density of states at the Fermi level ... 2.615 states/eV/f.u.
# Energy of formation ... 99 meV/atom
# E above lowest polymorph ... 49 meV per atom
# E_tot ... -4.6221 eV/atom
data_Li2NiRu
_chemical_formula_sum 'Li2 Ni1 Ru1'
_space_group_name_H-M_alt 'P 4 m m'
_space_group_IT_number 99
_cell_length_a 2.602
_cell_length_b 2.602
_cell_length_c 8.245
_cell_angle_alpha 90.00
_cell_angle_beta 90.00
_cell_angle_gamma 90.00
loop_
_space_group_symop_operation_xyz
'x,y,z'
'-y,x,z'
'-x,-y,z'
'y,-x,z'
'-x,y,z'
'y,x,z'
'x,-y,z'
'-y,-x,z'
loop_
_atom_site_label
_atom_site_type_symbol
_atom_site_fract_x
_atom_site_fract_y
_atom_site_fract_z
_atom_site_occupancy
Li1 Li 0.000 0.000 0.000 1
Li2 Li 0.500 0.500 0.315 1
Ni1 Ni 0.000 0.000 0.540 1
Ru1 Ru 0.500 0.500 0.752 1